The following is a PBE-GGA calculation of a geometry-optimized BeAsBr2 structure, from the Alexandria database.

Cell: 4.0326 4.4298 7.4522 Å, 65.74 90.00 90.00°
Sites, in units of the cell vectors:
Be 0.5000 0.7221 0.5558
Br 0.5000 0.2243 0.3674
Br 0.0000 0.9895 0.8893
As 0.0000 0.5641 0.6875

Output
- Symmetry: Pm
- Final energy: -3.166 eV per atom


The following is a PBE-GGA calculation of a geometry-optimized BeAsBr structure, from the Alexandria database.

Cell: 4.3779 4.3779 4.3779 Å, 60.00 60.00 60.00°
Sites, in units of the cell vectors:
Be 0.7500 0.7500 0.7500
Br 0.0000 0.0000 0.0000
As 0.5000 0.5000 0.5000

Output
- Symmetry: F-43m
- Final energy: -2.678 eV per atom


The following is a PBE-GGA calculation of a geometry-optimized BeAs2Br structure, from the Alexandria database.

Cell: 3.7255 3.9113 6.0061 Å, 73.68 90.00 90.00°
Sites, in units of the cell vectors:
Be 0.5000 0.2500 0.2500
Br 0.5000 0.7500 0.7500
As 0.0000 0.0484 0.0988
As 0.0000 0.4516 0.4012

Output
- Symmetry: P2/m
- Final energy: -3.626 eV per atom


The following is a PBE-GGA calculation of a geometry-optimized BeAs4Br structure, from the Alexandria database.

Cell: 5.9306 5.9306 5.9306 Å, 60.00 60.00 60.00°
Sites, in units of the cell vectors:
Be 0.7500 0.7500 0.7500
As 0.3554 0.3554 0.9337
As 0.3554 0.9337 0.3554
As 0.9337 0.3554 0.3554
As 0.3554 0.3554 0.3554
Br 0.0000 0.0000 0.0000

Output
- Symmetry: F-43m
- Final energy: -3.385 eV per atom


The following is a PBE-GGA calculation of a geometry-optimized BeAs2Br structure, from the Alexandria database.

Cell: 3.1203 3.1203 8.5115 Å, 90.00 90.00 104.18°
Sites, in units of the cell vectors:
As 0.0000 0.0000 0.4074
As 0.0000 0.0000 0.0926
Be 0.5000 0.5000 0.2500
Br 0.5000 0.5000 0.7500

Output
- Symmetry: Cmmm
- Final energy: -3.444 eV per atom


The following is a PBE-GGA calculation of a geometry-optimized BeAs2Br structure, from the Alexandria database.

Cell: 6.9278 6.9278 2.8499 Å, 90.00 90.00 138.91°
Sites, in units of the cell vectors:
Br 0.0000 0.5000 0.5000
As 0.0000 0.0000 0.0000
As 0.5000 0.5000 0.0000
Be 0.5000 0.0000 0.5000

Output
- Symmetry: Cmmm
- Final energy: -2.968 eV per atom


Quick rundown of M_tot, same order as above: 0.000, 0.000, 0.000, 0.000, 0.000, 0.000 μB/atom
Quick rundown of ΔE_f (raw), same order as above: -0.236, 0.671, 0.048, 0.614, 0.231, 0.707 eV/atom